First-principles (PBE-GGA) data for a relaxed ReSb2Ir crystal, as listed in the Alexandria database.

Properties
Crystal system: orthorhombic
E in eV per atom: -7.006
Symmetry: Pmm2
Size of the total moment in μB/cell: 0.0
Energy above the most stable polymorph in this dataset in eV per formula unit: 0.600

a b c (Å): 3.245 4.125 5.571
angles (deg): 90.00 90.00 90.00
Element x y z (fractional)
Re1 0.000 0.000 0.000
Sb1 0.000 0.000 0.510
Sb2 0.500 0.500 0.150
Ir1 0.500 0.500 0.661